# 1
First-principles (GGA-PBE) data for crystalline La2NdSm8 at its relaxed geometry, as listed in Alexandria via LeMat-Bulk.

The value obtained for the distance to the lowest polymorph of the same formula is 127 meV/atom. As for the density of states at the Fermi level: 35.6 states/eV per cell. The energy of formation from the pure elements comes out at 145.6 meV per atom.

The space group is C2/m (No. 12) and the conventional cell measures 16.906, 6.816 and 6.845 Å, with angles of 90.00, 100.06 and 90.00 degrees. Symmetry generates all atoms from La at (0.202, 0.000, 0.304), Nd at (0.000, 0.000, 0.500), Sm at (0.087, 0.500, 0.407), Sm at (0.089, 0.263, 0.908) and Sm at (0.244, 0.000, 0.811).

---

# 2
First-principles (GGA-PBE) data for crystalline La2NdSm2 at its relaxed geometry, as listed in Alexandria via LeMat-Bulk.

The value obtained for the distance to the lowest polymorph of the same formula is 217 meV/atom. As for the density of states at the Fermi level: 18.0 states/eV per cell. The energy of formation from the pure elements comes out at 322.7 meV per atom.

The space group is I4/mmm (No. 139) and the conventional cell measures 4.708, 4.708 and 16.750 Å, with angles of 90.00, 90.00 and 90.00 degrees. Symmetry generates all atoms from La at (0.000, 0.000, 0.093), Nd at (0.000, 0.000, 0.500) and Sm at (0.000, 0.500, 0.250).

---

# 3
First-principles (GGA-PBE) data for crystalline La2NdSm4 at its relaxed geometry, as listed in Alexandria via LeMat-Bulk.

The value obtained for the distance to the lowest polymorph of the same formula is 182 meV/atom. As for the density of states at the Fermi level: 46.6 states/eV per cell. The energy of formation from the pure elements comes out at 292.9 meV per atom.

The space group is C2/m (No. 12) and the conventional cell measures 11.250, 11.250 and 8.184 Å, with angles of 90.00, 90.36 and 90.00 degrees. Symmetry generates all atoms from La at (0.000, 0.000, 0.000), La at (0.000, 0.000, 0.500), La at (0.250, 0.250, 0.000), Nd at (0.000, 0.500, 0.000), Nd at (0.000, 0.500, 0.500), Sm at (0.002, 0.251, 0.283), Sm at (0.249, 0.500, 0.283) and Sm at (0.249, 0.500, 0.717).

---

# 4
First-principles (GGA-PBE) data for crystalline La2Nd6Sm at its relaxed geometry, as listed in Alexandria via LeMat-Bulk.

The value obtained for the distance to the lowest polymorph of the same formula is 16 meV/atom. As for the density of states at the Fermi level: 16.4 states/eV per cell. The energy of formation from the pure elements comes out at 61.1 meV per atom.

The space group is P-6m2 (No. 187) and the conventional cell measures 3.6814, 3.6814 and 27.5477 Å, with angles of 90.00, 90.00 and 120.00 degrees. Symmetry generates all atoms from La at (0.0000, 0.0000, 0.1697), Nd at (0.0000, 0.0000, 0.3920), Nd at (0.6667, 0.3333, 0.0619), Nd at (0.6667, 0.3333, 0.2838) and Sm at (0.6667, 0.3333, 0.5000).

---

Number 1: calculated volume 35.30 Å³ per atom. Number 2: calculated volume 37.13 Å³ per atom. Number 3: calculated volume 36.99 Å³ per atom. Number 4: calculated volume 35.93 Å³ per atom.